No. 1
# Cs2RbVS4, relaxed, DFT PBE
# ΔE_f (raw) = -1.0270 eV per atom
# Total DFT energy (no corrections) = -4.56 eV per atom
data_Cs2RbVS4
_chemical_formula_sum 'Cs16 Rb8 V8 S32'
_cell_length_a 7.639
_cell_length_b 12.983
_cell_length_c 34.385
_cell_angle_alpha 90.00
_cell_angle_beta 90.00
_cell_angle_gamma 90.00
_symmetry_space_group_name_H-M 'F d d d'
_symmetry_Int_Tables_number 70
loop_
_symmetry_equiv_pos_as_xyz
'x,y,z'
'-x,-y,-z'
'-x+1/4,-y+1/4,z'
'x+1/4,y+1/4,-z'
'x,-y+1/4,-z+1/4'
'-x,y+1/4,z+1/4'
'-x+1/4,y,-z+1/4'
'x+1/4,-y,z+1/4'
'x,y+1/2,z+1/2'
'-x,-y+1/2,-z+1/2'
'-x+1/4,-y+3/4,z+1/2'
'x+1/4,y+3/4,-z+1/2'
'x,-y+3/4,-z+3/4'
'-x,y+3/4,z+3/4'
'-x+1/4,y+1/2,-z+3/4'
'x+1/4,-y+1/2,z+3/4'
'x+1/2,y,z+1/2'
'-x+1/2,-y,-z+1/2'
'-x+3/4,-y+1/4,z+1/2'
'x+3/4,y+1/4,-z+1/2'
'x+1/2,-y+1/4,-z+3/4'
'-x+1/2,y+1/4,z+3/4'
'-x+3/4,y,-z+3/4'
'x+3/4,-y,z+3/4'
'x+1/2,y+1/2,z'
'-x+1/2,-y+1/2,-z'
'-x+3/4,-y+3/4,z'
'x+3/4,y+3/4,-z'
'x+1/2,-y+3/4,-z+1/4'
'-x+1/2,y+3/4,z+1/4'
'-x+3/4,y+1/2,-z+1/4'
'x+3/4,-y+1/2,z+1/4'
loop_
_atom_site_label
_atom_site_fract_x
_atom_site_fract_y
_atom_site_fract_z
_atom_site_occupancy
Cs1 0.125 0.125 0.327 1
Rb1 0.125 0.125 0.125 1
V1 0.125 0.125 0.625 1
S1 0.035 0.277 0.838 1

No. 2
# Cs3RbW2S8, relaxed, DFT PBE
# ΔE_f (raw) = -0.9947 eV per atom
# Total DFT energy (no corrections) = -5.46 eV per atom
data_Cs3RbW2S8
_chemical_formula_sum 'Cs3 Rb1 W2 S8'
_cell_length_a 7.5862
_cell_length_b 7.5862
_cell_length_c 10.7485
_cell_angle_alpha 90.00
_cell_angle_beta 90.00
_cell_angle_gamma 120.00
_symmetry_space_group_name_H-M 'P -3 m 1'
_symmetry_Int_Tables_number 164
_symmetry_space_group_name_Hall '-P 3 2"'
loop_
_atom_site_label
_atom_site_fract_x
_atom_site_fract_y
_atom_site_fract_z
_atom_site_occupancy
Cs1 0.0000 0.0000 0.0000 1
Cs2 0.3333 0.6667 0.6868 1
Rb1 0.0000 0.0000 0.5000 1
W1 0.3333 0.6667 0.2157 1
S1 0.1744 0.3488 0.2843 1
S2 0.3333 0.6667 0.0126 1

No. 3
# CsRb2WS4, relaxed, DFT PBE
# ΔE_f (raw) = -0.9206 eV per atom
# Total DFT energy (no corrections) = -4.95 eV per atom
data_CsRb2WS4
_chemical_formula_sum 'Cs2 Rb4 W2 S8'
_cell_length_a 8.541
_cell_length_b 8.541
_cell_length_c 8.421
_cell_angle_alpha 90.00
_cell_angle_beta 90.00
_cell_angle_gamma 90.00
_symmetry_space_group_name_H-M 'I -4'
_symmetry_Int_Tables_number 82
loop_
_symmetry_equiv_pos_as_xyz
'x,y,z'
'y,-x,-z'
'-x,-y,z'
'-y,x,-z'
'x+1/2,y+1/2,z+1/2'
'y+1/2,-x+1/2,-z+1/2'
'-x+1/2,-y+1/2,z+1/2'
'-y+1/2,x+1/2,-z+1/2'
loop_
_atom_site_label
_atom_site_fract_x
_atom_site_fract_y
_atom_site_fract_z
_atom_site_occupancy
Cs1 0.000 0.000 0.000 1
Rb1 0.000 0.000 0.500 1
Rb2 0.000 0.500 0.750 1
W1 0.000 0.500 0.250 1
S1 0.146 0.338 0.402 1

No. 4
# CsRbZrS3, relaxed, DFT PBE
# ΔE_f (raw) = -1.4650 eV per atom
# Total DFT energy (no corrections) = -5.26 eV per atom
data_CsRbZrS3
_chemical_formula_sum 'Cs4 Rb4 Zr4 S12'
_cell_length_a 7.874
_cell_length_b 15.407
_cell_length_c 7.012
_cell_angle_alpha 90.00
_cell_angle_beta 101.57
_cell_angle_gamma 90.00
_symmetry_space_group_name_H-M 'C 1 2/c 1'
_symmetry_Int_Tables_number 15
loop_
_symmetry_equiv_pos_as_xyz
'x,y,z'
'-x,-y,-z'
'-x,y,-z+1/2'
'x,-y,z+1/2'
'x+1/2,y+1/2,z'
'-x+1/2,-y+1/2,-z'
'-x+1/2,y+1/2,-z+1/2'
'x+1/2,-y+1/2,z+1/2'
loop_
_atom_site_label
_atom_site_fract_x
_atom_site_fract_y
_atom_site_fract_z
_atom_site_occupancy
Cs1 0.000 0.242 0.250 1
Rb1 0.000 0.412 0.750 1
Zr1 0.000 0.047 0.750 1
S1 0.000 0.203 0.750 1
S2 0.206 0.038 0.500 1

No. 5
# Cs2Rb2Sb3, relaxed, DFT PBE
# ΔE_f (raw) = -0.3564 eV per atom
# Total DFT energy (no corrections) = -2.64 eV per atom
data_Cs2Rb2Sb3
_chemical_formula_sum 'Cs4 Rb4 Sb6'
_cell_length_a 15.711
_cell_length_b 5.728
_cell_length_c 8.401
_cell_angle_alpha 90.00
_cell_angle_beta 117.71
_cell_angle_gamma 90.00
_symmetry_space_group_name_H-M 'C 1 2/m 1'
_symmetry_Int_Tables_number 12
loop_
_symmetry_equiv_pos_as_xyz
'x,y,z'
'-x,-y,-z'
'-x,y,-z'
'x,-y,z'
'x+1/2,y+1/2,z'
'-x+1/2,-y+1/2,-z'
'-x+1/2,y+1/2,-z'
'x+1/2,-y+1/2,z'
loop_
_atom_site_label
_atom_site_fract_x
_atom_site_fract_y
_atom_site_fract_z
_atom_site_occupancy
Cs1 0.118 0.000 0.287 1
Rb1 0.162 0.000 0.786 1
Sb1 0.000 0.500 0.500 1
Sb2 0.065 0.500 0.926 1

No. 6
# CsRb2Sb, relaxed, DFT PBE
# ΔE_f (raw) = -0.1062 eV per atom
# Total DFT energy (no corrections) = -1.83 eV per atom
data_CsRb2Sb
_chemical_formula_sum 'Cs4 Rb8 Sb4'
_cell_length_a 6.019
_cell_length_b 6.019
_cell_length_c 25.168
_cell_angle_alpha 90.00
_cell_angle_beta 90.00
_cell_angle_gamma 90.00
_symmetry_space_group_name_H-M 'I -4 2 d'
_symmetry_Int_Tables_number 122
_symmetry_space_group_name_Hall 'I -4 2bw'
loop_
_atom_site_label
_atom_site_fract_x
_atom_site_fract_y
_atom_site_fract_z
_atom_site_occupancy
Cs1 0.000 0.000 0.000 1
Rb1 0.201 0.250 0.625 1
Sb1 0.000 0.000 0.500 1

No. 7
# CsRbSb4, relaxed, DFT PBE
# ΔE_f (raw) = -0.1930 eV per atom
# Excess energy over the best structure of this formula in the dataset = 0.0398 eV/atom
# Total DFT energy (no corrections) = -3.24 eV per atom
data_CsRbSb4
_chemical_formula_sum 'Cs4 Rb4 Sb16'
_cell_length_a 9.562
_cell_length_b 9.562
_cell_length_c 9.562
_cell_angle_alpha 90.00
_cell_angle_beta 90.00
_cell_angle_gamma 90.00
_symmetry_space_group_name_H-M 'F -4 3 m'
_symmetry_Int_Tables_number 216
_symmetry_space_group_name_Hall 'F -4 2 3'
loop_
_atom_site_label
_atom_site_fract_x
_atom_site_fract_y
_atom_site_fract_z
_atom_site_occupancy
Cs1 0.000 0.000 0.000 1
Rb1 0.250 0.250 0.250 1
Sb1 0.134 0.134 0.634 1

No. 8
# Cs3Rb4Sb2, relaxed, DFT PBE
# ΔE_f (raw) = -0.2476 eV per atom
# Total DFT energy (no corrections) = -1.88 eV per atom
data_Cs3Rb4Sb2
_chemical_formula_sum 'Cs6 Rb8 Sb4'
_cell_length_a 10.989
_cell_length_b 6.310
_cell_length_c 13.622
_cell_angle_alpha 90.00
_cell_angle_beta 90.32
_cell_angle_gamma 90.00
_symmetry_space_group_name_H-M 'C 1 2/m 1'
_symmetry_Int_Tables_number 12
loop_
_symmetry_equiv_pos_as_xyz
'x,y,z'
'-x,-y,-z'
'-x,y,-z'
'x,-y,z'
'x+1/2,y+1/2,z'
'-x+1/2,-y+1/2,-z'
'-x+1/2,y+1/2,-z'
'x+1/2,-y+1/2,z'
loop_
_atom_site_label
_atom_site_fract_x
_atom_site_fract_y
_atom_site_fract_z
_atom_site_occupancy
Cs1 0.000 0.000 0.000 1
Cs2 0.168 0.500 0.600 1
Rb1 0.000 0.000 0.283 1
Rb2 0.167 0.500 0.899 1
Sb1 0.167 0.500 0.195 1

No. 9
# Cs2RbSb, relaxed, DFT PBE
# ΔE_f (raw) = -0.1903 eV per atom
# Total DFT energy (no corrections) = -1.89 eV per atom
data_Cs2RbSb
_chemical_formula_sum 'Cs2 Rb1 Sb1'
_cell_length_a 5.851
_cell_length_b 5.851
_cell_length_c 5.982
_cell_angle_alpha 90.00
_cell_angle_beta 90.00
_cell_angle_gamma 90.00
_symmetry_space_group_name_H-M 'P 4/m m m'
_symmetry_Int_Tables_number 123
_symmetry_space_group_name_Hall '-P 4 2'
loop_
_atom_site_label
_atom_site_fract_x
_atom_site_fract_y
_atom_site_fract_z
_atom_site_occupancy
Cs1 0.000 0.500 0.000 1
Rb1 0.000 0.000 0.500 1
Sb1 0.500 0.500 0.500 1

No. 10
# Cs4Rb2Sb, relaxed, DFT PBE
# ΔE_f (raw) = -0.0915 eV per atom
# Total DFT energy (no corrections) = -1.44 eV per atom
data_Cs4Rb2Sb
_chemical_formula_sum 'Cs8 Rb4 Sb2'
_cell_length_a 7.463
_cell_length_b 7.463
_cell_length_c 26.186
_cell_angle_alpha 90.00
_cell_angle_beta 90.00
_cell_angle_gamma 90.00
_symmetry_space_group_name_H-M 'I 4/m m m'
_symmetry_Int_Tables_number 139
_symmetry_space_group_name_Hall '-I 4 2'
loop_
_atom_site_label
_atom_site_fract_x
_atom_site_fract_y
_atom_site_fract_z
_atom_site_occupancy
Cs1 0.000 0.000 0.139 1
Cs2 0.000 0.500 0.000 1
Rb1 0.000 0.000 0.320 1
Sb1 0.000 0.000 0.000 1

No. 11
# CsRb2Sb2, relaxed, DFT PBE
# ΔE_f (raw) = -0.2601 eV per atom
# Excess energy over the best structure of this formula in the dataset = 0.0994 eV/atom
# Total DFT energy (no corrections) = -2.47 eV per atom
data_CsRb2Sb2
_chemical_formula_sum 'Cs2 Rb4 Sb4'
_cell_length_a 9.897
_cell_length_b 9.897
_cell_length_c 4.634
_cell_angle_alpha 90.00
_cell_angle_beta 90.00
_cell_angle_gamma 90.00
_symmetry_space_group_name_H-M 'P 4/m b m'
_symmetry_Int_Tables_number 127
_symmetry_space_group_name_Hall '-P 4 2ab'
loop_
_atom_site_label
_atom_site_fract_x
_atom_site_fract_y
_atom_site_fract_z
_atom_site_occupancy
Cs1 0.000 0.000 0.000 1
Rb1 0.176 0.324 0.000 1
Sb1 0.102 0.602 0.500 1

No. 12
# Cs6Rb8Sb, relaxed, DFT PBE
# ΔE_f (raw) = -0.0631 eV per atom
# Total DFT energy (no corrections) = -1.20 eV per atom
data_Cs6Rb8Sb
_chemical_formula_sum 'Cs18 Rb24 Sb3'
_cell_length_a 13.7285
_cell_length_b 13.7285
_cell_length_c 25.7585
_cell_angle_alpha 90.00
_cell_angle_beta 90.00
_cell_angle_gamma 120.00
_symmetry_space_group_name_H-M 'R -3'
_symmetry_Int_Tables_number 148
_symmetry_space_group_name_Hall '-R 3'
loop_
_atom_site_label
_atom_site_fract_x
_atom_site_fract_y
_atom_site_fract_z
_atom_site_occupancy
Cs1 0.0362 0.2408 0.4139 1
Rb1 0.0000 0.0000 0.2457 1
Rb2 0.0489 0.2281 0.9166 1
Sb1 0.0000 0.0000 0.0000 1